The following is a PBE-GGA calculation of a relaxed Ho2Ga3 crystal, from Alexandria.

Cell lengths 4.261, 4.261, 7.588 Å; angles 73.69, 73.69, 60.00 degrees
Fractional positions:
Ga1 0.845 0.845 0.466
Ga2 0.000 0.000 0.000
Ga3 0.155 0.155 0.534
Ho1 0.408 0.408 0.776
Ho2 0.592 0.592 0.224

Summary:
ΔH_f (0 K)   -0.533 eV per atom
Uncorrected energy   -0.3072 Ry/atom